Computed, not measured: a geometry-optimized Cs2SrZrI6 structure at the GGA-PBE level of DFT.

- Final energy: -33.8 eV/cell
- Space group: Fm-3m

a b c (Å): 8.774 8.774 8.774
angles (deg): 60.00 60.00 90.00
Each line ends with the local moment (μB).
Atoms (fractional coordinates):
Zr1 0.000 0.000 0.000  1.22
Sr1 0.500 0.500 0.000  0.02
I1 0.760 0.760 0.000  0.00
I2 0.760 0.240 0.000  0.00
I3 0.760 0.760 0.480  0.00
Cs1 0.750 0.250 0.500  0.00
I4 0.240 0.240 0.000  0.00
Cs2 0.250 0.750 0.500  0.00
I5 0.240 0.760 0.000  0.00
I6 0.240 0.240 0.520  0.00


Computed, not measured: a geometry-optimized CsTa3I structure at the GGA-PBE level of DFT.

- Final energy: -21.6 eV/cell
- Space group: Pm-3m

a b c (Å): 5.139 5.139 5.139
angles (deg): 90.00 90.00 90.00
Atoms (fractional coordinates):
Cs1 0.000 0.000 0.000
I1 0.500 0.500 0.500
Ta1 0.000 0.000 0.500
Ta2 0.500 0.000 0.000
Ta3 0.000 0.500 0.000


Computed, not measured: a geometry-optimized CsTaI3 structure at the GGA-PBE level of DFT.

- Final energy: -19.0 eV/cell
- Space group: Pm-3m

a b c (Å): 5.872 5.872 5.872
angles (deg): 90.00 90.00 90.00
Each line ends with the local moment (μB).
Atoms (fractional coordinates):
Ta1 0.000 0.000 0.000  1.91
I1 0.000 0.000 0.500  0.02
Cs1 0.500 0.500 0.500  0.00
I2 0.000 0.500 0.000  0.01
I3 0.500 0.000 0.000  0.04


The calculation returns the following uncorrected formation energy values, one per record and in order: -1210 1575 -159 kJ/mol of formula units.